[1]
Here is BaGeTe2O8 after structural relaxation from the Alexandria database. Energies are from GGA-PBE.

Cell and atoms, written as CIF:
```
data_BaGeTe2O8
_chemical_formula_sum 'Ba2 Ge2 Te4 O16'
_cell_length_a 8.393
_cell_length_b 6.251
_cell_length_c 7.708
_cell_angle_alpha 90.00
_cell_angle_beta 92.00
_cell_angle_gamma 90.00
_symmetry_space_group_name_H-M 'C 1 2/m 1'
_symmetry_Int_Tables_number 12
loop_
_symmetry_equiv_pos_as_xyz
'x,y,z'
'-x,-y,-z'
'-x,y,-z'
'x,-y,z'
'x+1/2,y+1/2,z'
'-x+1/2,-y+1/2,-z'
'-x+1/2,y+1/2,-z'
'x+1/2,-y+1/2,z'
loop_
_atom_site_label
_atom_site_type_symbol
_atom_site_fract_x
_atom_site_fract_y
_atom_site_fract_z
Ba1 Ba 0.000 0.000 0.000
Ge1 Ge 0.000 0.000 0.500
Te1 Te 0.103 0.500 0.660
O1 O 0.019 0.206 0.685
O2 O 0.185 0.500 0.884
O3 O 0.228 0.000 0.495
```

Summary:
Fermi-level density of states	0.06	states/eV/f.u.
density	4.87	g/cm3
calculated total energy	-137.2	eV/cell
size of the total moment	0.00	μB/cell


[2]
Here is Ba3TlGe2O8 after structural relaxation from the Alexandria database. Energies are from GGA-PBE.

Cell and atoms, written as CIF:
```
data_Ba3TlGe2O8
_chemical_formula_sum 'Ba3 Tl1 Ge2 O8'
_cell_length_a 6.0541
_cell_length_b 6.0541
_cell_length_c 7.7393
_cell_angle_alpha 90.00
_cell_angle_beta 90.00
_cell_angle_gamma 120.00
_symmetry_space_group_name_H-M 'P -3 m 1'
_symmetry_Int_Tables_number 164
_symmetry_space_group_name_Hall '-P 3 2"'
loop_
_atom_site_label
_atom_site_type_symbol
_atom_site_fract_x
_atom_site_fract_y
_atom_site_fract_z
Ba1 Ba 0.0000 0.0000 0.0000
Ba2 Ba 0.3333 0.6667 0.6638
Tl1 Tl 0.0000 0.0000 0.5000
Ge1 Ge 0.3333 0.6667 0.2048
O1 O 0.1752 0.3503 0.2940
O2 O 0.3333 0.6667 0.9802
```

Summary:
Fermi-level density of states	3.13	states/eV/f.u.
density	6.01	g/cm3
calculated total energy	-85.6	eV/cell
size of the total moment	0.00	μB/cell


[3]
Here is BaTl3Ge4O12 after structural relaxation from the Alexandria database. Energies are from GGA-PBE.

Cell and atoms, written as CIF:
```
data_BaTl3Ge4O12
_chemical_formula_sum 'Ba3 Tl9 Ge12 O36'
_cell_length_a 11.7951
_cell_length_b 11.7951
_cell_length_c 9.0892
_cell_angle_alpha 90.00
_cell_angle_beta 90.00
_cell_angle_gamma 120.00
_symmetry_space_group_name_H-M 'R 3 2'
_symmetry_Int_Tables_number 155
_symmetry_space_group_name_Hall 'R 3 2"'
loop_
_atom_site_label
_atom_site_type_symbol
_atom_site_fract_x
_atom_site_fract_y
_atom_site_fract_z
Ba1 Ba 0.0000 0.0000 0.0000
Tl1 Tl 0.0000 0.5460 0.0000
Ge1 Ge 0.0000 0.0000 0.5000
Ge2 Ge 0.0000 0.4541 0.5000
O1 O 0.0000 0.6010 0.5000
O2 O 0.0000 0.8530 0.5000
O3 O 0.0214 0.2058 0.1684
```

Summary:
Fermi-level density of states	3.19	states/eV/f.u.
density	5.61	g/cm3
calculated total energy	-335.2	eV/cell
size of the total moment	0.00	μB/cell


[4]
Here is BaTl2GeO4 after structural relaxation from the Alexandria database. Energies are from GGA-PBE.

Cell and atoms, written as CIF:
```
data_BaTl2GeO4
_chemical_formula_sum 'Ba2 Tl4 Ge2 O8'
_cell_length_a 7.781
_cell_length_b 8.268
_cell_length_c 5.812
_cell_angle_alpha 90.00
_cell_angle_beta 90.00
_cell_angle_gamma 90.00
_symmetry_space_group_name_H-M 'P m n 21'
_symmetry_Int_Tables_number 31
loop_
_symmetry_equiv_pos_as_xyz
'x,y,z'
'-x+1/2,-y,z+1/2'
'-x,y,z'
'x+1/2,-y,z+1/2'
loop_
_atom_site_label
_atom_site_type_symbol
_atom_site_fract_x
_atom_site_fract_y
_atom_site_fract_z
Ba1 Ba 0.000 0.106 0.000
Tl1 Tl 0.242 0.679 0.000
Ge1 Ge 0.000 0.896 0.509
O1 O 0.000 0.117 0.517
O2 O 0.000 0.832 0.214
O3 O 0.188 0.837 0.660
```

Summary:
Fermi-level density of states	0.00	states/eV/f.u.
density	6.06	g/cm3
calculated total energy	-88.1	eV/cell
size of the total moment	0.00	μB/cell


[5]
Here is BaTlGeO4 after structural relaxation from the Alexandria database. Energies are from GGA-PBE.

Cell and atoms, written as CIF:
```
data_BaTlGeO4
_chemical_formula_sum 'Ba2 Tl2 Ge2 O8'
_cell_length_a 5.164
_cell_length_b 5.969
_cell_length_c 7.625
_cell_angle_alpha 90.00
_cell_angle_beta 102.90
_cell_angle_gamma 90.00
_symmetry_space_group_name_H-M 'P 1 21/m 1'
_symmetry_Int_Tables_number 11
loop_
_symmetry_equiv_pos_as_xyz
'x,y,z'
'-x,-y,-z'
'-x,y+1/2,-z'
'x,-y+1/2,z'
loop_
_atom_site_label
_atom_site_type_symbol
_atom_site_fract_x
_atom_site_fract_y
_atom_site_fract_z
Ba1 Ba 0.201 0.250 0.111
Tl1 Tl 0.188 0.750 0.537
Ge1 Ge 0.417 0.250 0.723
O1 O 0.230 0.750 0.212
O2 O 0.299 0.501 0.805
O3 O 0.314 0.250 0.479
```

Summary:
Fermi-level density of states	2.30	states/eV/f.u.
density	6.93	g/cm3
calculated total energy	-81.2	eV/cell
size of the total moment	0.00	μB/cell


[6]
Here is Ba3TmGe2O8 after structural relaxation from the Alexandria database. Energies are from GGA-PBE.

Cell and atoms, written as CIF:
```
data_Ba3TmGe2O8
_chemical_formula_sum 'Ba3 Tm1 Ge2 O8'
_cell_length_a 5.9952
_cell_length_b 5.9952
_cell_length_c 7.6719
_cell_angle_alpha 90.00
_cell_angle_beta 90.00
_cell_angle_gamma 120.00
_symmetry_space_group_name_H-M 'P -3 m 1'
_symmetry_Int_Tables_number 164
_symmetry_space_group_name_Hall '-P 3 2"'
loop_
_atom_site_label
_atom_site_type_symbol
_atom_site_fract_x
_atom_site_fract_y
_atom_site_fract_z
Ba1 Ba 0.0000 0.0000 0.0000
Ba2 Ba 0.3333 0.6667 0.6661
Tm1 Tm 0.0000 0.0000 0.5000
Ge1 Ge 0.3333 0.6667 0.2211
O1 O 0.1713 0.3426 0.3247
O2 O 0.3333 0.6667 0.9912
```

Summary:
Fermi-level density of states	3.17	states/eV/f.u.
density	5.94	g/cm3
calculated total energy	-93.1	eV/cell
size of the total moment	0.00	μB/cell


[7]
Here is Ba2UGeO6 after structural relaxation from the Alexandria database. Energies are from GGA-PBE.

Cell and atoms, written as CIF:
```
data_Ba2UGeO6
_chemical_formula_sum 'Ba8 U4 Ge4 O24'
_cell_length_a 8.712
_cell_length_b 8.712
_cell_length_c 8.712
_cell_angle_alpha 90.00
_cell_angle_beta 90.00
_cell_angle_gamma 90.00
_symmetry_space_group_name_H-M 'F m -3 m'
_symmetry_Int_Tables_number 225
_symmetry_space_group_name_Hall '-F 4 2 3'
loop_
_atom_site_label
_atom_site_type_symbol
_atom_site_fract_x
_atom_site_fract_y
_atom_site_fract_z
Ba1 Ba 0.250 0.250 0.250
U1 U 0.000 0.000 0.000
Ge1 Ge 0.000 0.000 0.500
O1 O 0.000 0.000 0.241
```

Summary:
density	6.84	g/cm3
calculated total energy	-303.3	eV/cell
size of the total moment	0.00	μB/cell
distance to the lowest polymorph of the same formula	0.0	meV/atom


[8]
Here is Ba2UGeO6 after structural relaxation from the Alexandria database. Energies are from GGA-PBE.

Cell and atoms, written as CIF:
```
data_Ba2UGeO6
_chemical_formula_sum 'Ba2 U1 Ge1 O6'
_cell_length_a 4.301
_cell_length_b 4.301
_cell_length_c 8.684
_cell_angle_alpha 90.00
_cell_angle_beta 90.00
_cell_angle_gamma 90.00
_symmetry_space_group_name_H-M 'P 4/m m m'
_symmetry_Int_Tables_number 123
_symmetry_space_group_name_Hall '-P 4 2'
loop_
_atom_site_label
_atom_site_type_symbol
_atom_site_fract_x
_atom_site_fract_y
_atom_site_fract_z
Ba1 Ba 0.000 0.000 0.216
U1 U 0.500 0.500 0.500
Ge1 Ge 0.500 0.500 0.000
O1 O 0.000 0.500 0.000
O2 O 0.000 0.500 0.500
O3 O 0.500 0.500 0.260
```

Summary:
Fermi-level density of states	4.29	states/eV/f.u.
density	7.04	g/cm3
calculated total energy	-75.8	eV/cell
size of the total moment	0.83	μB/cell
distance to the lowest polymorph of the same formula	4.3	meV/atom


[9]
Here is BaUGeO5 after structural relaxation from the Alexandria database. Energies are from GGA-PBE.

Cell and atoms, written as CIF:
```
data_BaUGeO5
_chemical_formula_sum 'Ba4 U4 Ge4 O20'
_cell_length_a 7.391
_cell_length_b 10.056
_cell_length_c 7.962
_cell_angle_alpha 90.00
_cell_angle_beta 112.44
_cell_angle_gamma 90.00
_symmetry_space_group_name_H-M 'C 1 2/c 1'
_symmetry_Int_Tables_number 15
loop_
_symmetry_equiv_pos_as_xyz
'x,y,z'
'-x,-y,-z'
'-x,y,-z+1/2'
'x,-y,z+1/2'
'x+1/2,y+1/2,z'
'-x+1/2,-y+1/2,-z'
'-x+1/2,y+1/2,-z+1/2'
'x+1/2,-y+1/2,z+1/2'
loop_
_atom_site_label
_atom_site_type_symbol
_atom_site_fract_x
_atom_site_fract_y
_atom_site_fract_z
Ba1 Ba 0.000 0.165 0.250
U1 U 0.000 0.500 0.000
Ge1 Ge 0.000 0.183 0.750
O1 O 0.000 0.425 0.250
O2 O 0.095 0.287 0.618
O3 O 0.181 0.073 0.902
```

Summary:
Fermi-level density of states	4.24	states/eV/f.u.
density	6.41	g/cm3
calculated total energy	-253.7	eV/cell
size of the total moment	7.97	μB/cell


[10]
Here is Ba3UGe2O9 after structural relaxation from the Alexandria database. Energies are from GGA-PBE.

Cell and atoms, written as CIF:
```
data_Ba3UGe2O9
_chemical_formula_sum 'Ba3 U1 Ge2 O9'
_cell_length_a 5.8730
_cell_length_b 5.8730
_cell_length_c 7.2245
_cell_angle_alpha 90.00
_cell_angle_beta 90.00
_cell_angle_gamma 120.00
_symmetry_space_group_name_H-M 'P -3 m 1'
_symmetry_Int_Tables_number 164
_symmetry_space_group_name_Hall '-P 3 2"'
loop_
_atom_site_label
_atom_site_type_symbol
_atom_site_fract_x
_atom_site_fract_y
_atom_site_fract_z
Ba1 Ba 0.0000 0.0000 0.0000
Ba2 Ba 0.3333 0.6667 0.6867
U1 U 0.0000 0.0000 0.5000
Ge1 Ge 0.3333 0.6667 0.1584
O1 O 0.0000 0.5000 0.0000
O2 O 0.1738 0.3476 0.3265
```

Summary:
Fermi-level density of states	2.04	states/eV/f.u.
density	7.23	g/cm3
calculated total energy	-107.9	eV/cell
size of the total moment	1.36	μB/cell


The records above yield energy relative to the elements, uncorrected values of -130 -197 -119 -156 -163 -234 -254 -254 -251 -238 kJ per mole of atoms, respectively.